Os3SI | PBE-GGA | relaxed

a = 4.8722 Å, b = 4.8722 Å, c = 4.8722 Å
α = 90.00°, β = 90.00°, γ = 90.00°
Fractional positions:
I 0.0000 0.0000 0.0000
S 0.5000 0.5000 0.5000
Os 0.0000 0.5000 0.0000
Os 0.0000 0.0000 0.5000
Os 0.5000 0.0000 0.0000

Results
spin magnetization	3.79	μB per formula unit
energy above the lowest structure with this stoichiometry	1479	meV/atom
electronic total energy	-23.6	eV per cell
uncorrected formation energy	3146	meV/atom